First-principles (PBE-GGA) data for crystalline MoS2Cl2 at its relaxed geometry, as listed in Alexandria via LeMat-Bulk.

Cell lengths 6.8411, 6.4358, 7.5828 Å; angles 78.37, 67.71, 57.89 degrees
Element x y z (fractional)
S: 0.9018 0.0000 0.7816
S: 0.0982 0.0000 0.2184
S: 0.3086 0.0000 0.3481
S: 0.6914 0.0000 0.6519
Cl: 0.9293 0.5850 0.3039
Cl: 0.0707 0.4150 0.6961
Cl: 0.5143 0.4150 0.3039
Cl: 0.4857 0.5850 0.6961
Mo: 0.8712 0.2576 0.5000
Mo: 0.1288 0.7424 0.5000

SG: C2/m, No. 12
VASP energy, eV per atom: -5.123
D(E_F), states/eV/atom: 0.078

***

First-principles (PBE-GGA) data for crystalline MoS2Cl3 at its relaxed geometry, as listed in Alexandria via LeMat-Bulk.

Cell lengths 7.7446, 6.2485, 14.4317 Å; angles 65.23, 90.00, 90.00 degrees
Element x y z (fractional)
Cl: 0.3190 0.2334 0.6351
Cl: 0.9285 0.1448 0.3893
Cl: 0.8288 0.7752 0.0832
Cl: 0.1712 0.2248 0.9168
Cl: 0.5715 0.1448 0.8893
Cl: 0.6810 0.7666 0.3649
Cl: 0.0715 0.8552 0.6107
Cl: 0.8190 0.7666 0.8649
Cl: 0.3288 0.2248 0.4168
Cl: 0.6712 0.7752 0.5832
Cl: 0.4285 0.8552 0.1107
Cl: 0.1810 0.2334 0.1351
S: 0.4510 0.6632 0.8516
S: 0.2838 0.6858 0.9524
S: 0.9510 0.3368 0.6484
S: 0.2162 0.6858 0.4524
S: 0.7162 0.3142 0.0476
S: 0.0490 0.6632 0.3516
S: 0.7838 0.3142 0.5476
S: 0.5490 0.3368 0.1484
Mo: 0.5927 0.7025 0.9949
Mo: 0.9073 0.7025 0.4949
Mo: 0.0927 0.2975 0.5051
Mo: 0.4073 0.2975 0.0051

SG: P2_1/c, No. 14
VASP energy, eV per atom: -4.782

***

Looking at formation energy (no corrections) for the records above, in order, we have -0.567; -0.677 eV/atom.